[1]
Computed, not measured: a geometry-optimized Sc3Tl2Hg structure at the PBE level of DFT.

Properties
symmetry	No. 123
ΔE_f	-0.32	eV per atom

The structure in extended XYZ format:
```
6
Lattice="3.556 0.000 0.000 0.000 3.556 0.000 0.000 0.000 10.860" Properties=species:S:1:pos:R:3 pbc="T T T"
Sc 0.000 0.000 0.000
Sc 0.000 0.000 3.723
Sc 0.000 0.000 7.138
Tl 1.778 1.778 1.875
Tl 1.778 1.778 8.986
Hg 1.778 1.778 5.430
```

=====

[2]
Computed, not measured: a geometry-optimized ScTlHg structure at the PBE level of DFT.

Properties
symmetry	No. 10
ΔE_f	-0.21	eV per atom
polymorph energy (0 for the lowest one)	0.01	eV/f.u.

The structure in extended XYZ format:
```
6
Lattice="4.966 0.000 0.000 0.000 3.910 0.000 -2.447 0.000 7.343" Properties=species:S:1:pos:R:3 pbc="T T T"
Sc 0.016 0.000 2.370
Sc 2.502 0.000 4.973
Tl 0.000 1.955 0.000
Tl 2.483 0.000 0.000
Hg 0.018 1.955 4.677
Hg 2.501 1.955 2.666
```

=====

[3]
Computed, not measured: a geometry-optimized Sc2TlHg structure at the PBE level of DFT.

Properties
symmetry	No. 160
ΔE_f	-0.09	eV per atom

The structure in extended XYZ format:
```
12
Lattice="3.398 0.000 0.000 -1.699 2.942 0.000 0.000 0.000 29.726" Properties=species:S:1:pos:R:3 pbc="T T T"
Sc 0.000 0.000 0.000
Sc 0.000 0.000 7.391
Sc 0.000 1.962 19.817
Sc 0.000 1.962 27.208
Sc 1.699 0.981 9.909
Sc 1.699 0.981 17.299
Tl 0.000 0.000 22.341
Tl 0.000 1.962 12.432
Tl 1.699 0.981 2.523
Hg 0.000 0.000 14.993
Hg 0.000 1.962 5.084
Hg 1.699 0.981 24.902
```

=====

[4]
Computed, not measured: a geometry-optimized Sc3TlHg structure at the PBE level of DFT.

Properties
symmetry	No. 221
ΔE_f	0.45	eV per atom
polymorph energy (0 for the lowest one)	3.62	eV/f.u.

The structure in extended XYZ format:
```
5
Lattice="5.360 0.000 0.000 0.000 5.360 0.000 0.000 0.000 5.360" Properties=species:S:1:pos:R:3 pbc="T T T"
Sc 0.000 0.000 2.680
Sc 0.000 2.680 0.000
Sc 2.680 0.000 0.000
Tl 0.000 0.000 0.000
Hg 2.680 2.680 2.680
```

=====

[5]
Computed, not measured: a geometry-optimized Sc2TlHg structure at the PBE level of DFT.

Properties
symmetry	No. 71
ΔE_f	0.26	eV per atom

The structure in extended XYZ format:
```
8
Lattice="3.294 0.000 0.000 0.000 5.623 0.000 0.000 0.000 11.983" Properties=species:S:1:pos:R:3 pbc="T T T"
Sc 0.000 0.000 2.919
Sc 0.000 0.000 9.063
Sc 1.647 2.812 3.072
Sc 1.647 2.812 8.911
Tl 0.000 0.000 5.991
Tl 1.647 2.812 0.000
Hg 0.000 0.000 0.000
Hg 1.647 2.812 5.991
```

=====

[6]
Computed, not measured: a geometry-optimized Sc4TlHg structure at the PBE level of DFT.

Properties
symmetry	No. 166
ΔE_f	-0.03	eV per atom
polymorph energy (0 for the lowest one)	1.22	eV/f.u.

The structure in extended XYZ format:
```
6
Lattice="2.417 1.396 7.884 -2.417 1.396 7.884 0.000 -2.791 7.884" Properties=species:S:1:pos:R:3 pbc="T T T"
Sc 0.000 0.000 2.887
Sc 0.000 0.000 8.802
Sc 0.000 0.000 14.850
Sc 0.000 0.000 20.765
Tl 0.000 0.000 11.826
Hg 0.000 0.000 0.000
```

=====

[7]
Computed, not measured: a geometry-optimized Sc3TlHg structure at the PBE level of DFT.

Properties
symmetry	No. 221
ΔE_f	0.25	eV per atom
polymorph energy (0 for the lowest one)	2.62	eV/f.u.

The structure in extended XYZ format:
```
5
Lattice="5.285 0.000 0.000 0.000 5.285 0.000 0.000 0.000 5.285" Properties=species:S:1:pos:R:3 pbc="T T T"
Sc 0.000 0.000 2.643
Sc 0.000 2.643 0.000
Sc 2.643 0.000 0.000
Tl 2.643 2.643 2.643
Hg 0.000 0.000 0.000
```

=====

[8]
Computed, not measured: a geometry-optimized ScTlHg structure at the PBE level of DFT.

Properties
symmetry	No. 2
ΔE_f	-0.20	eV per atom
polymorph energy (0 for the lowest one)	0.02	eV/f.u.

The structure in extended XYZ format:
```
6
Lattice="4.721 0.000 0.000 -2.350 4.729 0.000 -0.005 -1.149 6.331" Properties=species:S:1:pos:R:3 pbc="T T T"
Sc 0.001 1.161 1.949
Sc 2.366 2.419 4.382
Tl 2.360 0.000 0.000
Tl 2.358 -0.574 3.165
Hg 0.000 0.667 5.081
Hg 2.366 2.913 1.250
```

=====

[9]
Computed, not measured: a geometry-optimized ScTlHg structure at the PBE level of DFT.

Properties
symmetry	No. 194
ΔE_f	-0.13	eV per atom
polymorph energy (0 for the lowest one)	0.23	eV/f.u.

The structure in extended XYZ format:
```
6
Lattice="5.104 0.000 0.000 -2.552 4.420 0.000 0.000 0.000 6.196" Properties=species:S:1:pos:R:3 pbc="T T T"
Sc 0.000 2.947 1.549
Sc 2.552 1.473 4.647
Tl 0.000 2.947 4.647
Tl 2.552 1.473 1.549
Hg 0.000 0.000 0.000
Hg 0.000 0.000 3.098
```

=====

[10]
Computed, not measured: a geometry-optimized Sc4TlHg structure at the PBE level of DFT.

Properties
symmetry	No. 12
ΔE_f	-0.24	eV per atom
polymorph energy (0 for the lowest one)	0.00	eV/f.u.

The structure in extended XYZ format:
```
12
Lattice="13.163 0.000 0.000 0.000 3.313 0.000 -1.673 0.000 6.427" Properties=species:S:1:pos:R:3 pbc="T T T"
Sc 1.564 0.000 2.152
Sc 0.757 0.000 5.318
Sc 4.151 1.657 1.109
Sc 3.344 1.657 4.275
Sc 8.145 1.657 2.152
Sc 7.338 1.657 5.318
Sc 10.733 0.000 1.109
Sc 9.926 0.000 4.275
Tl 0.000 1.657 0.000
Tl 6.581 0.000 0.000
Hg -0.837 1.657 3.214
Hg 5.745 0.000 3.214
```

=====

[11]
Computed, not measured: a geometry-optimized Sc2TlHg structure at the PBE level of DFT.

Properties
symmetry	No. 225
ΔE_f	-0.35	eV per atom

The structure in extended XYZ format:
```
16
Lattice="7.127 0.000 0.000 0.000 7.127 0.000 0.000 0.000 7.127" Properties=species:S:1:pos:R:3 pbc="T T T"
Sc 1.782 1.782 1.782
Sc 1.782 1.782 5.345
Sc 1.782 5.345 1.782
Sc 1.782 5.345 5.345
Sc 5.345 1.782 1.782
Sc 5.345 1.782 5.345
Sc 5.345 5.345 1.782
Sc 5.345 5.345 5.345
Tl 0.000 0.000 0.000
Tl 0.000 3.564 3.564
Tl 3.564 0.000 3.564
Tl 3.564 3.564 0.000
Hg 0.000 0.000 3.564
Hg 0.000 3.564 0.000
Hg 3.564 0.000 0.000
Hg 3.564 3.564 3.564
```

=====

[12]
Computed, not measured: a geometry-optimized Sc5TlHg structure at the PBE level of DFT.

Properties
symmetry	No. 15
ΔE_f	-0.10	eV per atom

The structure in extended XYZ format:
```
14
Lattice="5.317 -5.463 0.000 5.317 5.463 0.000 -1.686 0.000 5.730" Properties=species:S:1:pos:R:3 pbc="T T T"
Sc 3.411 2.108 1.062
Sc 1.631 0.881 3.430
Sc 4.053 2.968 4.297
Sc 2.474 -0.881 0.565
Sc 6.381 2.108 1.803
Sc 2.568 -2.108 3.927
Sc 6.474 0.881 5.165
Sc 4.896 -2.968 1.432
Sc 7.317 -0.881 2.300
Sc 5.538 -2.108 4.668
Tl 4.896 4.728 1.432
Tl 4.053 -4.728 4.297
Hg 5.317 0.000 0.000
Hg 4.474 0.000 2.865
```

=====

Number 1: DOS(E_F) 5.8 states/eV/cell, V 137 Å³/f.u., magnetic moment 0.58 μB per cell. Number 2: DOS(E_F) 4.2 states/eV/cell, V 71 Å³/f.u., magnetic moment 0.00 μB per cell. Number 3: DOS(E_F) 10.5 states/eV/cell, V 99 Å³/f.u., magnetic moment 2.87 μB per cell. Number 4: DOS(E_F) 5.2 states/eV/cell, V 154 Å³/f.u., magnetic moment 1.82 μB per cell. Number 5: DOS(E_F) 10.4 states/eV/cell, V 111 Å³/f.u., magnetic moment 0.00 μB per cell. Number 6: DOS(E_F) 8.1 states/eV/cell, V 160 Å³/f.u., magnetic moment 0.01 μB per cell. Number 7: DOS(E_F) 8.0 states/eV/cell, V 148 Å³/f.u., magnetic moment 0.00 μB per cell. Number 8: DOS(E_F) 3.6 states/eV/cell, V 71 Å³/f.u., magnetic moment 0.00 μB per cell. Number 9: DOS(E_F) 2.9 states/eV/cell, V 70 Å³/f.u., magnetic moment 0.00 μB per cell. Number 10: DOS(E_F) 12.5 states/eV/cell, V 140 Å³/f.u., magnetic moment 3.30 μB per cell. Number 11: DOS(E_F) 14.7 states/eV/cell, V 91 Å³/f.u., magnetic moment 2.88 μB per cell. Number 12: DOS(E_F) 19.1 states/eV/cell, V 166 Å³/f.u., magnetic moment 0.00 μB per cell.